A relaxed BeP2AuS crystal. Source: Alexandria via LeMat-Bulk, functional GGA-PBE.

Properties
Total magnetic moment, μB per formula unit: 0.00
Uncorrected formation energy, eV/atom: 1.228
Total DFT energy (no corrections), eV/atom: -3.162

Unit cell a=4.4934 b=4.7708 c=4.4934 alpha=90.00 beta=90.00 gamma=90.00
Sites, in units of the cell vectors:
P 0.0000 0.0000 0.5000
P 0.5000 0.0000 0.0000
S 0.0000 0.0000 0.0000
Au 0.0000 0.5000 0.0000
Be 0.5000 0.5000 0.5000